Density functional theory data (PBE with a Hubbard U) for MnInF2 after structural relaxation.

Properties
Calculated total energy   -5.3279 eV per atom
Symmetry   R-3m, No. 166
E above lowest polymorph   0 meV per atom

abc: 8.641 8.641 8.641
angles: 22.27 22.27 22.27
Each line ends with the local moment (μB).
Element x y z (fractional)
In1 0.000 0.000 0.000  0.00
F1 0.872 0.872 0.872  0.06
F2 0.128 0.128 0.128  0.06
Mn1 0.500 0.500 0.500  4.70